# BaLi2Fe

Crystalline BaLi2Fe at its relaxed geometry (PBE, Alexandria).

Properties
M_tot = 2.5 μB/f.u.
D(E_F) = 14.5 states/eV/cell
energy of formation = 0.5835 eV per atom

Cell: 5.001 5.001 8.371 Å, 90.00 90.00 90.00°
Sites, in units of the cell vectors:
Ba  0.000  0.000  0.000
Ba  0.500  0.500  0.500
Li  0.000  0.000  0.500
Li  0.000  0.500  0.250
Li  0.500  0.000  0.750
Li  0.500  0.500  0.000
Fe  0.000  0.500  0.750
Fe  0.500  0.000  0.250



# BaLiFe2

Crystalline BaLiFe2 at its relaxed geometry (PBE, Alexandria).

Properties
M_tot = 4.9 μB/f.u.
D(E_F) = 7.5 states/eV/cell
energy of formation = 0.5523 eV per atom

Cell: 8.008 4.021 6.124 Å, 90.00 111.04 90.00°
Sites, in units of the cell vectors:
Ba  0.000  0.000  0.000
Ba  0.500  0.500  0.000
Li  0.000  0.500  0.500
Li  0.500  0.000  0.500
Fe  0.205  0.000  0.574
Fe  0.295  0.500  0.426
Fe  0.705  0.500  0.574
Fe  0.795  0.000  0.426



> Which of these has the highest energy of formation?

BaLi2Fe